{"formula": "Co4SeBr", "functional": "GGA-PBE", "state": "relaxed", "cell": [[0.000, 3.542, 3.542], [3.542, 0.000, 3.542], [3.542, 3.542, 0.000]], "species": ["Co", "Co", "Co", "Co", "Se", "Br"], "frac_coords": [[0.125, 0.125, 0.125], [0.125, 0.125, 0.626], [0.125, 0.626, 0.125], [0.626, 0.125, 0.125], [0.750, 0.750, 0.750], [0.500, 0.500, 0.500]], "n_ef_per_ev_cell": 8.77, "e_form_raw_ev_per_atom": 0.70}